A plane-wave DFT calculation with PBE was carried out for a relaxed SbC2Cl crystal.

## Properties
The relative energy among the computed polymorphs comes out at 0.00 kcal/mol of atoms. The total moment is 0.00 μB per formula unit. For the formation energy from raw total energies, the calculation gives 2121.3 meV per atom. The calculation puts the total energy at -3.9829 eV/atom. The volume comes out at 17.93 A^3/atom.

Lattice parameters (Å, degrees): 5.7620 5.7620 5.9390 60.98 60.98 90.00
Closest atoms and distances in Å follow each position.
Positions (direct):
Sb 0.0000 0.0000 0.0000  4 C 2.17
Sb 0.7500 0.2500 0.5000  4 C 2.17
C 0.6639 0.1250 0.2500  2 Sb 2.17
C 0.0861 0.6250 0.2500  2 Sb 2.17
C 0.3750 0.3361 0.7500  2 Sb 2.17
C 0.8750 0.9139 0.7500  2 Sb 2.17
Cl 0.5000 0.5000 0.0000  4 C 2.45
Cl 0.2500 0.7500 0.5000  4 C 2.45

---

A plane-wave DFT calculation with PBE was carried out for a relaxed Sb2CCl crystal.

## Properties
The relative energy among the computed polymorphs comes out at 0.00 kcal/mol of atoms. The total moment is 0.00 μB per formula unit. For the formation energy from raw total energies, the calculation gives 688.6 meV per atom. The calculation puts the total energy at -4.1403 eV/atom. The volume comes out at 21.76 A^3/atom.

Lattice parameters (Å, degrees): 7.1590 7.1590 6.0965 54.05 54.05 90.00
Closest atoms and distances in Å follow each position.
Positions (direct):
Sb 0.5359 0.1250 0.2500  2 C 2.29
Sb 0.2141 0.6250 0.2500  2 C 2.29
Sb 0.3750 0.4641 0.7500  2 C 2.29
Sb 0.8750 0.7859 0.7500  2 C 2.29
C 0.5000 0.5000 0.0000  4 Sb 2.29
C 0.2500 0.7500 0.5000  4 Sb 2.29
Cl 0.0000 0.0000 0.0000  8 Sb 3.13-3.32, 2 C 3.40
Cl 0.7500 0.2500 0.5000  8 Sb 3.13-3.32, 2 C 3.40

---

A plane-wave DFT calculation with PBE was carried out for a relaxed SbC2SeCl crystal.

## Properties
The total moment is 1.39 μB per formula unit. For the formation energy from raw total energies, the calculation gives 2554.8 meV per atom. The calculation puts the total energy at -3.0255 eV/atom. The volume comes out at 17.95 A^3/atom.

Lattice parameters (Å, degrees): 4.2536 4.9612 4.2536 90.00 90.00 90.00
Closest atoms and distances in Å follow each position.
Positions (direct):
Sb 0.5000 0.5000 0.5000  4 Se 3.01, 8 C 3.27
C 0.0000 0.0000 0.5000  2 Cl 2.13
C 0.5000 0.0000 0.0000  2 Cl 2.13
Se 0.0000 0.5000 0.0000  2 Cl 2.48
Cl 0.0000 0.0000 0.0000  4 C 2.13

---

A plane-wave DFT calculation with PBE was carried out for a relaxed TaSbCCl2 crystal.

## Properties
The total moment is 1.97 μB per formula unit. For the formation energy from raw total energies, the calculation gives 2077.8 meV per atom. The calculation puts the total energy at -3.7006 eV/atom. The volume comes out at 29.75 A^3/atom.

Lattice parameters (Å, degrees): 5.0940 5.7328 5.0940 90.00 90.00 90.00
Closest atoms and distances in Å follow each position.
Positions (direct):
Sb 0.0000 0.0000 0.0000  4 Cl 2.55
C 0.5000 0.5000 0.5000  4 Ta 3.60, 8 Cl 3.83
Cl 0.0000 0.0000 0.5000  2 Sb 2.55
Cl 0.5000 0.0000 0.0000  2 Sb 2.55
Ta 0.0000 0.5000 0.0000  2 Sb 2.87

---

A plane-wave DFT calculation with PBE was carried out for a relaxed Sc2CCl crystal.

## Properties
The total moment is 0.00 μB per formula unit. For the formation energy from raw total energies, the calculation gives -1142.4 meV per atom. The calculation puts the total energy at -7.0758 eV/atom. The volume comes out at 16.14 A^3/atom.

Lattice parameters (Å, degrees): 3.4084 3.4084 6.7129 75.29 75.29 60.00
Closest atoms and distances in Å follow each position.
Positions (direct):
Sc 0.0600 0.0600 0.8200  3 C 2.26
Sc 0.2730 0.2730 0.1811  3 C 2.31
C 0.6688 0.6688 0.9937  6 Sc 2.26-2.31
Cl 0.4982 0.4982 0.5053  6 Sc 2.82-2.86

---

A plane-wave DFT calculation with PBE was carried out for a relaxed ScCCl2 crystal.

## Properties
The relative energy among the computed polymorphs comes out at 12.94 kcal/mol of atoms. The total moment is 0.00 μB per formula unit. For the formation energy from raw total energies, the calculation gives 463.4 meV per atom. The calculation puts the total energy at -4.3488 eV/atom. The volume comes out at 19.84 A^3/atom.

Lattice parameters (Å, degrees): 8.3184 8.3184 8.3184 23.35 23.35 23.35
Closest atoms and distances in Å follow each position.
Positions (direct):
Sc 0.5000 0.5000 0.5000  6 Cl 2.55
C 0.0000 0.0000 0.0000  2 Cl 2.39
Cl 0.9016 0.9016 0.9016  1 C 2.39, 3 Sc 2.55
Cl 0.0984 0.0984 0.0984  1 C 2.39, 3 Sc 2.55

---

A plane-wave DFT calculation with PBE was carried out for a relaxed ScC3Cl crystal.

## Properties
The relative energy among the computed polymorphs comes out at 0.00 kcal/mol of atoms. The total moment is 0.00 μB per formula unit. For the formation energy from raw total energies, the calculation gives 2554.6 meV per atom. The calculation puts the total energy at -4.6154 eV/atom. The volume comes out at 11.40 A^3/atom.

Lattice parameters (Å, degrees): 3.8483 3.8483 3.8483 90.00 90.00 90.00
Closest atoms and distances in Å follow each position.
Positions (direct):
Sc 0.5000 0.5000 0.5000  12 C 2.72
C 0.0000 0.5000 0.0000  2 Cl 1.92
C 0.0000 0.0000 0.5000  2 Cl 1.92
C 0.5000 0.0000 0.0000  2 Cl 1.92
Cl 0.0000 0.0000 0.0000  6 C 1.92

---

A plane-wave DFT calculation with PBE was carried out for a relaxed Sc3CCl3 crystal.

## Properties
The total moment is 0.00 μB per formula unit. For the formation energy from raw total energies, the calculation gives -1546.3 meV per atom. The calculation puts the total energy at -6.3689 eV/atom. The volume comes out at 18.23 A^3/atom.

Lattice parameters (Å, degrees): 8.7205 8.7205 8.7205 109.47 109.47 109.47
Closest atoms and distances in Å follow each position.
Positions (direct):
Sc 0.9563 0.4782 0.2282  2 C 2.31
Sc 0.5218 0.0437 0.2718  2 C 2.31
Sc 0.2500 0.0218 0.4782  2 C 2.31
Sc 0.9782 0.7500 0.0218  2 C 2.31
Sc 0.9782 0.2282 0.4563  2 C 2.31
Sc 0.7718 0.0218 0.0437  2 C 2.31
Sc 0.7282 0.4563 0.4782  2 C 2.31
Sc 0.7718 0.7500 0.2282  2 C 2.31
Sc 0.5437 0.2718 0.0218  2 C 2.31
Sc 0.2500 0.2282 0.2718  2 C 2.31
Sc 0.7282 0.2718 0.7500  2 C 2.31
Sc 0.5218 0.4782 0.7500  2 C 2.31
C 0.7500 0.5000 0.0000  6 Sc 2.31
C 0.5000 0.2500 0.5000  6 Sc 2.31
C 0.7500 0.2500 0.2500  6 Sc 2.31
C 0.0000 0.0000 0.2500  6 Sc 2.31
Cl 0.2454 0.9954 0.9908  4 Sc 2.59-2.75
Cl 0.7500 0.7546 0.7454  4 Sc 2.59-2.75
Cl 0.4908 0.7454 0.9954  4 Sc 2.59-2.75
Cl 0.0046 0.2500 0.9954  4 Sc 2.59-2.75
Cl 0.2546 0.7454 0.2500  4 Sc 2.59-2.75
Cl 0.4954 0.5046 0.2500  4 Sc 2.59-2.75
Cl 0.2454 0.2500 0.7546  4 Sc 2.59-2.75
Cl 0.2546 0.5092 0.5046  4 Sc 2.59-2.75
Cl 0.7500 0.9954 0.5046  4 Sc 2.59-2.75
Cl 0.0092 0.5046 0.7546  4 Sc 2.59-2.75
Cl 0.0046 0.7546 0.5092  4 Sc 2.59-2.75
Cl 0.4954 0.9908 0.7454  4 Sc 2.59-2.75

---

A plane-wave DFT calculation with PBE was carried out for a relaxed Sc7CCl12 crystal.

## Properties
The total moment is 0.03 μB per formula unit. For the formation energy from raw total energies, the calculation gives -1858.7 meV per atom. The calculation puts the total energy at -5.6439 eV/atom. The volume comes out at 22.24 A^3/atom.

Lattice parameters (Å, degrees): 8.1579 8.1579 8.1579 107.58 107.58 107.58
Closest atoms and distances in Å follow each position.
Positions (direct):
Sc 0.9713 0.6971 0.8990  1 C 2.27
Sc 0.3029 0.1010 0.0287  1 C 2.27
Sc 0.1010 0.0287 0.3029  1 C 2.27
Sc 0.5000 0.5000 0.5000  6 Cl 2.55
Sc 0.8990 0.9713 0.6971  1 C 2.27
Sc 0.6971 0.8990 0.9713  1 C 2.27
Sc 0.0287 0.3029 0.1010  1 C 2.27
C 0.0000 0.0000 0.0000  6 Sc 2.27
Cl 0.9235 0.3115 0.7782  2 Sc 2.54-2.58
Cl 0.6885 0.2218 0.0765  2 Sc 2.54-2.58
Cl 0.4599 0.1565 0.3820  3 Sc 2.55-2.60
Cl 0.8435 0.6180 0.5401  3 Sc 2.55-2.60
Cl 0.2218 0.0765 0.6885  2 Sc 2.54-2.58
Cl 0.6180 0.5401 0.8435  3 Sc 2.55-2.60
Cl 0.3820 0.4599 0.1565  3 Sc 2.55-2.60
Cl 0.7782 0.9235 0.3115  2 Sc 2.54-2.58
Cl 0.1565 0.3820 0.4599  3 Sc 2.55-2.60
Cl 0.5401 0.8435 0.6180  3 Sc 2.55-2.60
Cl 0.3115 0.7782 0.9235  2 Sc 2.54-2.58
Cl 0.0765 0.6885 0.2218  2 Sc 2.54-2.58

---

A plane-wave DFT calculation with PBE was carried out for a relaxed Sc2CCl crystal.

## Properties
The total moment is 0.01 μB per formula unit. For the formation energy from raw total energies, the calculation gives -251.6 meV per atom. The calculation puts the total energy at -6.1850 eV/atom. The volume comes out at 14.57 A^3/atom.

Lattice parameters (Å, degrees): 4.3521 4.3521 4.3521 60.00 60.00 60.00
Closest atoms and distances in Å follow each position.
Positions (direct):
Sc 0.2500 0.2500 0.2500  4 Cl 2.67, 4 C 2.67
Sc 0.7500 0.7500 0.7500  4 Cl 2.67, 4 C 2.67
C 0.0000 0.0000 0.0000  8 Sc 2.67
Cl 0.5000 0.5000 0.5000  8 Sc 2.67

---

A plane-wave DFT calculation with PBE was carried out for a relaxed Sc3CCl crystal.

## Properties
The relative energy among the computed polymorphs comes out at 0.00 kcal/mol of atoms. The total moment is 0.00 μB per formula unit. For the formation energy from raw total energies, the calculation gives -293.0 meV per atom. The calculation puts the total energy at -6.3060 eV/atom. The volume comes out at 19.12 A^3/atom.

Lattice parameters (Å, degrees): 4.5725 4.5725 4.5725 90.00 90.00 90.00
Closest atoms and distances in Å follow each position.
Positions (direct):
Sc 0.0000 0.5000 0.0000  2 C 2.29
Sc 0.0000 0.0000 0.5000  2 C 2.29
Sc 0.5000 0.0000 0.0000  2 C 2.29
C 0.0000 0.0000 0.0000  6 Sc 2.29
Cl 0.5000 0.5000 0.5000  12 Sc 3.23

---

A plane-wave DFT calculation with PBE was carried out for a relaxed ScCCl2 crystal.

## Properties
The relative energy among the computed polymorphs comes out at 12.61 kcal/mol of atoms. The total moment is 2.98 μB per formula unit. For the formation energy from raw total energies, the calculation gives 449.2 meV per atom. The calculation puts the total energy at -4.3630 eV/atom. The volume comes out at 17.04 A^3/atom.

Lattice parameters (Å, degrees): 4.5852 4.5852 4.5852 60.00 60.00 60.00
Closest atoms and distances in Å follow each position.
Positions (direct):
Sc 0.5000 0.5000 0.5000  8 Cl 2.81
C 0.0000 0.0000 0.0000  8 Cl 2.81
Cl 0.2500 0.2500 0.2500  4 Sc 2.81, 4 C 2.81
Cl 0.7500 0.7500 0.7500  4 Sc 2.81, 4 C 2.81

---

Repeat the fifth record exactly.
A plane-wave DFT calculation with PBE was carried out for a relaxed Sc2CCl crystal.

## Properties
The total moment is 0.00 μB per formula unit. For the formation energy from raw total energies, the calculation gives -1142.4 meV per atom. The calculation puts the total energy at -7.0758 eV/atom. The volume comes out at 16.14 A^3/atom.

Lattice parameters (Å, degrees): 3.4084 3.4084 6.7129 75.29 75.29 60.00
Closest atoms and distances in Å follow each position.
Positions (direct):
Sc 0.0600 0.0600 0.8200  3 C 2.26
Sc 0.2730 0.2730 0.1811  3 C 2.31
C 0.6688 0.6688 0.9937  6 Sc 2.26-2.31
Cl 0.4982 0.4982 0.5053  6 Sc 2.82-2.86

---

Copy entry 8 word for word.
A plane-wave DFT calculation with PBE was carried out for a relaxed Sc3CCl3 crystal.

## Properties
The total moment is 0.00 μB per formula unit. For the formation energy from raw total energies, the calculation gives -1546.3 meV per atom. The calculation puts the total energy at -6.3689 eV/atom. The volume comes out at 18.23 A^3/atom.

Lattice parameters (Å, degrees): 8.7205 8.7205 8.7205 109.47 109.47 109.47
Closest atoms and distances in Å follow each position.
Positions (direct):
Sc 0.9563 0.4782 0.2282  2 C 2.31
Sc 0.5218 0.0437 0.2718  2 C 2.31
Sc 0.2500 0.0218 0.4782  2 C 2.31
Sc 0.9782 0.7500 0.0218  2 C 2.31
Sc 0.9782 0.2282 0.4563  2 C 2.31
Sc 0.7718 0.0218 0.0437  2 C 2.31
Sc 0.7282 0.4563 0.4782  2 C 2.31
Sc 0.7718 0.7500 0.2282  2 C 2.31
Sc 0.5437 0.2718 0.0218  2 C 2.31
Sc 0.2500 0.2282 0.2718  2 C 2.31
Sc 0.7282 0.2718 0.7500  2 C 2.31
Sc 0.5218 0.4782 0.7500  2 C 2.31
C 0.7500 0.5000 0.0000  6 Sc 2.31
C 0.5000 0.2500 0.5000  6 Sc 2.31
C 0.7500 0.2500 0.2500  6 Sc 2.31
C 0.0000 0.0000 0.2500  6 Sc 2.31
Cl 0.2454 0.9954 0.9908  4 Sc 2.59-2.75
Cl 0.7500 0.7546 0.7454  4 Sc 2.59-2.75
Cl 0.4908 0.7454 0.9954  4 Sc 2.59-2.75
Cl 0.0046 0.2500 0.9954  4 Sc 2.59-2.75
Cl 0.2546 0.7454 0.2500  4 Sc 2.59-2.75
Cl 0.4954 0.5046 0.2500  4 Sc 2.59-2.75
Cl 0.2454 0.2500 0.7546  4 Sc 2.59-2.75
Cl 0.2546 0.5092 0.5046  4 Sc 2.59-2.75
Cl 0.7500 0.9954 0.5046  4 Sc 2.59-2.75
Cl 0.0092 0.5046 0.7546  4 Sc 2.59-2.75
Cl 0.0046 0.7546 0.5092  4 Sc 2.59-2.75
Cl 0.4954 0.9908 0.7454  4 Sc 2.59-2.75